Entry from Alexandria via LeMat-Bulk: LaTbPm3Er after structural relaxation (PBE).

extended XYZ file:
```
12
Lattice="8.096 0.000 0.000 0.000 5.153 0.000 -3.264 0.000 9.741" Properties=species:S:1:pos:R:3 pbc="T T T"
La 0.419 1.288 2.839
La 4.413 3.865 6.902
Tb 1.998 1.288 6.107
Tb 2.834 3.865 3.634
Pm -1.209 1.288 7.724
Pm -0.397 3.865 5.300
Pm 1.250 3.865 0.400
Pm 3.582 1.288 9.340
Pm 5.229 1.288 4.441
Pm 6.041 3.865 2.017
Er 1.169 3.865 8.536
Er 3.663 1.288 1.204
```

## Properties
total magnetic moment: 0.0 μB/cell
space-group type: No. 11
formation energy: 24.5 meV/atom
D(E_F): 1.58 states/eV per atom
energy: -4.70 eV/atom

---

Entry from Alexandria via LeMat-Bulk: La3Tb2Pm6Er after structural relaxation (PBE).

extended XYZ file:
```
12
Lattice="3.161 -5.479 0.000 3.161 5.479 0.000 -2.121 0.000 11.915" Properties=species:S:1:pos:R:3 pbc="T T T"
La 0.000 0.000 0.000
La 3.161 1.828 0.000
La 3.161 -1.828 0.000
Tb 2.100 3.653 5.958
Tb 2.100 -3.653 5.958
Pm 1.052 1.824 3.051
Pm -0.008 0.000 8.866
Pm 1.052 -1.824 3.051
Pm 3.148 1.824 8.864
Pm 4.209 0.000 3.049
Pm 3.148 -1.824 8.864
Er 2.100 0.000 5.958
```

## Properties
total magnetic moment: 0.0 μB/cell
space-group type: No. 12
formation energy: 20.3 meV/atom
D(E_F): 1.65 states/eV per atom
energy: -4.74 eV/atom

---

Entry from Alexandria via LeMat-Bulk: LaTb2PmEr after structural relaxation (PBE).

extended XYZ file:
```
5
Lattice="3.603 0.000 0.000 0.000 5.623 0.000 0.000 0.000 8.678" Properties=species:S:1:pos:R:3 pbc="T T T"
La 0.000 0.000 0.000
Tb 0.000 2.812 2.804
Tb 0.000 2.812 5.874
Pm 1.802 2.812 0.000
Er 1.802 0.000 4.339
```

## Properties
total magnetic moment: 0.0 μB/cell
space-group type: No. 47
formation energy: 284.2 meV/atom
D(E_F): 1.94 states/eV per atom
energy: -4.42 eV/atom

---

Entry from Alexandria via LeMat-Bulk: LaTb2Pm2Er after structural relaxation (PBE).

extended XYZ file:
```
12
Lattice="7.056 0.000 0.000 0.000 5.724 0.000 0.000 0.000 9.905" Properties=species:S:1:pos:R:3 pbc="T T T"
La 0.000 0.000 0.000
La 3.528 0.000 0.000
Tb 1.764 0.000 3.323
Tb 1.764 2.862 8.223
Tb 5.292 0.000 6.582
Tb 5.292 2.862 1.682
Pm 0.000 2.862 4.953
Pm 1.764 0.000 6.611
Pm 3.528 2.862 4.953
Pm 5.292 0.000 3.294
Er 1.764 2.862 1.645
Er 5.292 2.862 8.260
```

## Properties
total magnetic moment: 0.0 μB/cell
space-group type: No. 51
formation energy: 62.6 meV/atom
D(E_F): 1.53 states/eV per atom
energy: -4.65 eV/atom

---

Entry from Alexandria via LeMat-Bulk: La2Tb2Pm4Er after structural relaxation (PBE).

extended XYZ file:
```
9
Lattice="9.511 -1.837 0.000 9.511 1.837 0.000 -4.215 0.000 8.780" Properties=species:S:1:pos:R:3 pbc="T T T"
La 1.039 0.000 4.377
La 13.767 0.000 4.403
Tb 3.186 0.000 7.329
Tb 11.620 0.000 1.452
Pm -3.159 0.000 7.327
Pm 5.283 0.000 1.450
Pm 9.523 0.000 7.330
Pm 17.966 0.000 1.453
Er 7.403 0.000 4.390
```

## Properties
total magnetic moment: 0.0 μB/cell
space-group type: No. 12
formation energy: 7.1 meV/atom
D(E_F): 1.38 states/eV per atom
energy: -4.74 eV/atom

---

Entry from Alexandria via LeMat-Bulk: La2Tb6Pm3Er after structural relaxation (PBE).

extended XYZ file:
```
12
Lattice="3.131 -5.422 0.000 3.131 5.422 0.000 -2.083 0.000 11.749" Properties=species:S:1:pos:R:3 pbc="T T T"
La 3.131 3.618 0.000
La 3.131 -3.618 0.000
Tb 0.006 1.800 8.798
Tb 1.055 0.000 2.954
Tb 0.006 -1.800 8.798
Tb 4.173 1.800 2.950
Tb 3.124 0.000 8.794
Tb 4.173 -1.800 2.950
Pm -1.041 0.000 5.874
Pm 2.089 1.807 5.874
Pm 2.089 -1.807 5.874
Er 3.131 0.000 0.000
```

## Properties
total magnetic moment: 0.0 μB/cell
space-group type: No. 12
formation energy: 15.3 meV/atom
D(E_F): 1.28 states/eV per atom
energy: -4.69 eV/atom

---

Entry from Alexandria via LeMat-Bulk: LaTb2Pm5Er after structural relaxation (PBE).

extended XYZ file:
```
18
Lattice="2.859 -10.095 0.000 2.859 10.095 0.000 0.000 0.000 10.681" Properties=species:S:1:pos:R:3 pbc="T T T"
La 2.859 8.395 5.340
La 2.859 -8.395 0.000
Tb 2.859 2.329 3.897
Tb 2.859 2.295 8.322
Tb 2.859 -2.295 2.982
Tb 2.859 -2.329 9.238
Pm 2.859 9.711 8.407
Pm 2.859 7.760 0.733
Pm 2.859 5.988 8.045
Pm 2.859 5.664 3.855
Pm 2.859 0.345 0.741
Pm 2.859 -0.345 6.081
Pm 2.859 -5.664 9.196
Pm 2.859 -5.988 2.705
Pm 2.859 -7.760 6.073
Pm 2.859 -9.711 3.066
Er 2.859 4.034 0.613
Er 2.859 -4.034 5.953
```

## Properties
total magnetic moment: 0.0 μB/cell
space-group type: No. 36
formation energy: 149.0 meV/atom
D(E_F): 1.58 states/eV per atom
energy: -4.57 eV/atom

---

Entry from Alexandria via LeMat-Bulk: La2Tb2PmEr after structural relaxation (PBE).

extended XYZ file:
```
12
Lattice="5.735 0.000 0.000 0.000 9.975 0.000 0.000 0.000 7.086" Properties=species:S:1:pos:R:3 pbc="T T T"
La 0.000 0.003 0.000
La 0.000 9.971 3.543
La 2.867 1.707 1.773
La 2.867 8.268 5.316
Tb 0.000 3.333 1.770
Tb 0.000 6.641 5.313
Tb 2.867 1.663 5.314
Tb 2.867 8.311 1.771
Pm 2.867 4.985 7.083
Pm 2.867 4.989 3.541
Er 0.000 3.366 5.311
Er 0.000 6.609 1.768
```

## Properties
total magnetic moment: 0.0 μB/cell
space-group type: No. 26
formation energy: 66.9 meV/atom
D(E_F): 1.54 states/eV per atom
energy: -4.67 eV/atom

---

Entry from Alexandria via LeMat-Bulk: LaTb2Pm6Er3 after structural relaxation (PBE).

extended XYZ file:
```
12
Lattice="3.130 -5.422 0.000 3.130 5.422 0.000 -2.085 0.000 11.736" Properties=species:S:1:pos:R:3 pbc="T T T"
La 0.000 0.000 0.000
Tb 3.130 1.806 0.000
Tb 3.130 -1.806 0.000
Pm 1.049 1.814 2.976
Pm 0.006 0.000 8.756
Pm 1.049 -1.814 2.976
Pm 3.126 1.814 8.759
Pm 4.170 0.000 2.980
Pm 3.126 -1.814 8.759
Er 2.088 3.611 5.868
Er 2.088 0.000 5.868
Er 2.088 -3.611 5.868
```

## Properties
total magnetic moment: 0.0 μB/cell
space-group type: No. 12
formation energy: 18.5 meV/atom
D(E_F): 1.29 states/eV per atom
energy: -4.68 eV/atom

---

Entry from Alexandria via LeMat-Bulk: La2Tb6PmEr after structural relaxation (PBE).

extended XYZ file:
```
20
Lattice="4.540 -7.524 0.000 4.540 7.524 0.000 -1.738 0.000 9.767" Properties=species:S:1:pos:R:3 pbc="T T T"
La 2.123 0.727 0.410
La 1.254 -0.727 5.293
La 6.087 0.727 4.474
La 5.219 -0.727 9.357
Tb 2.386 4.195 1.843
Tb 2.915 4.629 5.440
Tb 3.558 4.629 9.210
Tb 3.005 1.583 3.720
Tb 5.824 4.195 3.040
Tb 5.206 1.583 1.163
Tb 2.136 -1.583 8.604
Tb 1.517 -4.195 6.726
Tb 4.337 -1.583 6.046
Tb 3.784 -4.629 0.556
Tb 4.427 -4.629 4.327
Tb 4.955 -4.195 7.924
Pm 4.105 7.333 2.442
Pm 3.236 -7.333 7.325
Er 3.236 1.430 7.325
Er 4.105 -1.430 2.442
```

## Properties
total magnetic moment: 0.0 μB/cell
space-group type: No. 15
formation energy: 116.4 meV/atom
D(E_F): 1.45 states/eV per atom
energy: -4.58 eV/atom

---

Entry from Alexandria via LeMat-Bulk: La6Tb2PmEr after structural relaxation (PBE).

extended XYZ file:
```
10
Lattice="5.741 -3.486 0.000 5.741 3.486 0.000 -2.738 0.000 8.874" Properties=species:S:1:pos:R:3 pbc="T T T"
La 2.964 1.590 1.695
La 0.343 0.000 3.773
La 5.781 1.590 7.179
La 2.964 -1.590 1.695
La 8.401 0.000 5.101
La 5.781 -1.590 7.179
Tb 2.645 0.000 7.352
Tb 6.099 0.000 1.522
Pm 4.372 0.000 4.437
Er 0.000 0.000 0.000
```

## Properties
total magnetic moment: 0.0 μB/cell
space-group type: No. 12
formation energy: 191.9 meV/atom
D(E_F): 1.95 states/eV per atom
energy: -4.62 eV/atom

---

Entry from Alexandria via LeMat-Bulk: LaTb2Pm4Er2 after structural relaxation (PBE).

extended XYZ file:
```
9
Lattice="7.663 -2.551 0.000 7.663 2.551 0.000 -2.536 0.000 7.663" Properties=species:S:1:pos:R:3 pbc="T T T"
La 0.000 0.000 0.000
Tb 0.018 0.000 5.104
Tb 12.771 0.000 2.559
Pm 2.575 0.000 2.539
Pm 5.127 0.000 5.108
Pm 7.662 0.000 2.555
Pm 10.214 0.000 5.124
Er 5.068 0.000 0.009
Er 7.720 0.000 7.654
```

## Properties
total magnetic moment: 0.0 μB/cell
space-group type: No. 12
formation energy: 21.5 meV/atom
D(E_F): 1.51 states/eV per atom
energy: -4.68 eV/atom

---

Entry from Alexandria via LeMat-Bulk: LaTbPmEr2 after structural relaxation (PBE).

extended XYZ file:
```
10
Lattice="4.225 -5.775 0.000 4.225 5.775 0.000 0.000 0.000 7.217" Properties=species:S:1:pos:R:3 pbc="T T T"
La 4.225 3.073 5.413
La 4.225 -3.073 1.804
Tb 4.225 3.251 1.804
Tb 4.225 -3.251 5.413
Pm 4.225 -0.004 1.804
Pm 4.225 0.004 5.413
Er 1.584 0.000 0.000
Er 1.584 0.000 3.609
Er 6.865 0.000 0.000
Er 6.865 0.000 3.609
```

## Properties
total magnetic moment: 0.0 μB/cell
space-group type: No. 63
formation energy: 353.0 meV/atom
D(E_F): 1.57 states/eV per atom
energy: -4.33 eV/atom

---

Entry from Alexandria via LeMat-Bulk: La3Pm2ErTe6 after structural relaxation (PBE).

extended XYZ file:
```
12
Lattice="9.801 -2.241 0.000 9.801 2.241 0.000 -2.076 0.000 8.798" Properties=species:S:1:pos:R:3 pbc="T T T"
La 0.000 0.000 0.000
La 5.081 0.000 5.860
La 12.446 0.000 2.938
Pm 6.158 0.000 1.447
Pm 11.369 0.000 7.350
Er -1.038 0.000 4.399
Te 1.925 0.000 5.145
Te 3.117 0.000 0.695
Te 9.242 0.000 2.318
Te 8.285 0.000 6.479
Te 14.410 0.000 8.103
Te 15.601 0.000 3.652
```

## Properties
total magnetic moment: 0.0 μB/cell
space-group type: No. 12
D(E_F): 0.62 states/eV per atom
energy: -5.45 eV/atom

---

Entry from Alexandria via LeMat-Bulk: La2Pm3ErTe6 after structural relaxation (PBE).

extended XYZ file:
```
12
Lattice="9.750 -2.230 0.000 9.750 2.230 0.000 -2.014 0.000 8.785" Properties=species:S:1:pos:R:3 pbc="T T T"
La 2.590 0.000 2.939
La 14.897 0.000 5.846
Pm 1.672 0.000 7.333
Pm 8.743 0.000 4.392
Pm 15.814 0.000 1.452
Er 9.750 0.000 0.000
Te -1.461 0.000 6.685
Te 5.713 0.000 3.626
Te 4.750 0.000 8.124
Te 12.736 0.000 0.660
Te 11.773 0.000 5.159
Te 18.948 0.000 2.100
```

## Properties
total magnetic moment: 0.0 μB/cell
space-group type: No. 12
D(E_F): 0.60 states/eV per atom
energy: -5.40 eV/atom

---

Entry from Alexandria via LeMat-Bulk: La3Pm4ErTe8 after structural relaxation (PBE).

extended XYZ file:
```
16
Lattice="4.504 2.600 7.310 -4.504 2.600 7.310 0.000 -5.201 7.310" Properties=species:S:1:pos:R:3 pbc="T T T"
La -2.252 -1.300 7.310
La -2.252 1.300 14.619
La 0.000 2.600 7.310
Pm -4.504 0.000 10.965
Pm -2.252 1.300 3.655
Pm 2.252 1.300 3.655
Pm 0.000 0.000 10.965
Er 0.000 0.000 0.000
Te -2.317 -1.338 12.792
Te 0.000 -2.675 9.137
Te -2.317 1.338 9.137
Te 0.000 0.000 5.428
Te 0.000 0.000 16.501
Te 2.317 -1.338 12.792
Te 0.000 2.675 12.792
Te 2.317 1.338 9.137
```

## Properties
total magnetic moment: 0.0 μB/cell
space-group type: No. 166
D(E_F): 0.78 states/eV per atom
energy: -5.41 eV/atom

---

Entry from Alexandria via LeMat-Bulk: La4Pm3ErTe8 after structural relaxation (PBE).

extended XYZ file:
```
16
Lattice="4.511 2.604 7.347 -4.511 2.604 7.347 0.000 -5.209 7.347" Properties=species:S:1:pos:R:3 pbc="T T T"
La 0.000 0.000 0.000
La -2.255 -1.302 7.347
La -2.255 1.302 14.694
La 0.000 2.604 7.347
Pm -4.511 0.000 11.020
Pm -2.255 1.302 3.673
Pm 2.255 1.302 3.673
Er 0.000 0.000 11.020
Te 0.000 0.000 5.458
Te -2.213 -1.278 12.770
Te 0.000 -2.555 9.271
Te -2.213 1.278 9.271
Te 2.213 -1.278 12.770
Te 0.000 2.555 12.770
Te 2.213 1.278 9.271
Te 0.000 0.000 16.583
```

## Properties
total magnetic moment: 0.0 μB/cell
space-group type: No. 166
D(E_F): 0.78 states/eV per atom
energy: -5.46 eV/atom

---

Entry from Alexandria via LeMat-Bulk: LaPm2Er3Te6 after structural relaxation (PBE).

extended XYZ file:
```
12
Lattice="9.689 -2.181 0.000 9.689 2.181 0.000 -2.341 0.000 8.624" Properties=species:S:1:pos:R:3 pbc="T T T"
La 0.000 0.000 0.000
Pm 4.882 0.000 5.728
Pm 12.155 0.000 2.896
Er -1.170 0.000 4.312
Er 6.093 0.000 1.440
Er 10.943 0.000 7.184
Te 1.783 0.000 5.102
Te 3.148 0.000 0.675
Te 9.040 0.000 2.264
Te 7.997 0.000 6.360
Te 13.888 0.000 7.949
Te 15.254 0.000 3.522
```

## Properties
total magnetic moment: 0.0 μB/cell
space-group type: No. 12
D(E_F): 0.50 states/eV per atom
energy: -5.26 eV/atom

---

Entry from Alexandria via LeMat-Bulk: LaPm3Er2Te6 after structural relaxation (PBE).

extended XYZ file:
```
12
Lattice="9.688 -2.203 0.000 9.688 2.203 0.000 -2.105 0.000 8.694" Properties=species:S:1:pos:R:3 pbc="T T T"
La 0.000 0.000 0.000
Pm -1.053 0.000 4.347
Pm 6.226 0.000 1.479
Pm 11.044 0.000 7.215
Er 5.070 0.000 5.831
Er 12.200 0.000 2.863
Te 2.091 0.000 5.000
Te 3.130 0.000 0.808
Te 8.014 0.000 6.451
Te 9.256 0.000 2.242
Te 14.140 0.000 7.886
Te 15.180 0.000 3.694
```

## Properties
total magnetic moment: 0.0 μB/cell
space-group type: No. 12
D(E_F): 0.59 states/eV per atom
energy: -5.30 eV/atom

---

Entry from Alexandria via LeMat-Bulk: LaPm3ErTh after structural relaxation (PBE).

extended XYZ file:
```
12
Lattice="8.141 0.000 0.000 0.000 5.131 0.000 -3.294 0.000 9.745" Properties=species:S:1:pos:R:3 pbc="T T T"
La 0.438 1.283 2.853
La 4.409 3.848 6.893
Pm -0.382 3.848 5.315
Pm -1.148 1.283 7.751
Pm 1.327 3.848 0.434
Pm 3.520 1.283 9.312
Pm 5.995 3.848 1.995
Pm 5.229 1.283 4.430
Er 1.997 1.283 6.125
Er 2.850 3.848 3.620
Th 1.174 3.848 8.553
Th 3.673 1.283 1.192
```

## Properties
total magnetic moment: 0.0 μB/cell
space-group type: No. 11
formation energy: 35.4 meV/atom
D(E_F): 1.56 states/eV per atom
energy: -5.16 eV/atom